1.
This record from Alexandria describes a relaxed NdScGa2 crystal. The functional is PBE.

The space group is P4/mmm (No. 123) and the conventional cell measures 3.533, 3.533 and 7.030 Å, with angles of 90.00, 90.00 and 90.00 degrees. The asymmetric unit holds Nd at (0.000, 0.000, 0.000), Sc at (0.000, 0.000, 0.500) and Ga at (0.500, 0.500, 0.284).

The calculation puts the energy relative to the lowest polymorph listed for this composition at 0 meV per atom. Its calculated formation energy is -0.58 eV per atom. For the total moment, the calculation gives 0.00 Bohr magnetons per cell.



2.
This record from Alexandria describes a relaxed Hf8Ga2Tc crystal. The functional is PBE.

The space group is C2/m (No. 12) and the conventional cell measures 15.550, 4.326 and 7.009 Å, with angles of 90.00, 107.86 and 90.00 degrees. The asymmetric unit holds Hf at (0.027, 0.000, 0.290), Hf at (0.094, 0.500, 0.966), Hf at (0.171, 0.500, 0.433), Hf at (0.178, 0.000, 0.763), Ga at (0.200, 0.000, 0.181) and Tc at (0.000, 0.500, 0.500).

Its calculated formation energy is -0.19 eV per atom. For the total moment, the calculation gives 0.00 Bohr magnetons per cell.



3.
This record from Alexandria describes a relaxed PrIrS2 crystal. The functional is PBE.

The space group is R-3m (No. 166, hexagonal axes) and the conventional cell measures 3.6975, 3.6975 and 23.8388 Å, with angles of 90.00, 90.00 and 120.00 degrees. The asymmetric unit holds Pr at (0.0000, 0.0000, 0.0000), Ir at (0.0000, 0.0000, 0.5000) and S at (0.0000, 0.0000, 0.1198).

The value obtained for the uncorrected formation energy is -0.46 eV per atom. For the total moment, the calculation gives 0.00 Bohr magnetons per cell.